1.
! ScIr2RhSe PBEsol optimized geometry; values from VASP
&SYSTEM
  ibrav = 0, nat = 5, ntyp = 4
/
ATOMIC_SPECIES
Sc 44.96 Sc.upf
Ir 192.22 Ir.upf
Rh 102.91 Rh.upf
Se 78.96 Se.upf
CELL_PARAMETERS angstrom
-0.611 -0.534 -4.390
4.369 -1.215 -0.461
-1.140 -4.359 0.689
ATOMIC_POSITIONS crystal
Sc 0.500 0.500 0.500
Ir 0.000 0.000 0.500
Ir 0.000 0.500 0.000
Rh 0.500 0.000 0.000
Se 0.000 0.000 0.000
! * magnetic moment: 0.0003 μB/atom
! * space group: No. 123
! * final energy: -36.062 eV per formula unit
! * formation energy (no corrections): 436 meV/atom
! * DOS(E_F): 1.110 states/eV per atom


2.
! IrRh2Se PBEsol optimized geometry; values from VASP
&SYSTEM
  ibrav = 0, nat = 4, ntyp = 3
/
ATOMIC_SPECIES
Ir 192.22 Ir.upf
Rh 102.91 Rh.upf
Se 78.96 Se.upf
CELL_PARAMETERS angstrom
-1.291 2.427 0.381
-1.437 -1.406 4.082
3.791 1.715 1.926
ATOMIC_POSITIONS crystal
Ir 0.000 0.500 0.500
Rh 0.000 0.000 0.000
Rh 0.500 0.000 0.500
Se 0.500 0.500 0.000
! * magnetic moment: 0.0002 μB/atom
! * space group: No. 47
! * final energy: -28.711 eV per formula unit
! * formation energy (no corrections): 310 meV/atom
! * DOS(E_F): 1.307 states/eV per atom